A) VASP calculation (meta-GGA SCAN) on a crystal of Ni relaxed with PBEsol. Values from VASP.

Values from the calculation:
- Symmetry: P6_3/mmc
- D(E_F): 1.32 states/eV per atom
- Magnetization: 0.74 μB/f.u.

Structure (Quantum ESPRESSO input):
```
&SYSTEM
  ibrav = 0, nat = 2, ntyp = 1
/
ATOMIC_SPECIES
Ni 58.69 Ni.upf
CELL_PARAMETERS angstrom
-2.244 0.976 -0.037
0.915 -0.885 2.090
1.550 3.596 0.845
ATOMIC_POSITIONS angstrom
Ni -0.028 3.053 1.306
Ni 0.250 0.634 1.592
```


B) VASP calculation (meta-GGA SCAN) on a crystal of Ni relaxed with PBEsol. Values from VASP.

Values from the calculation:
- Symmetry: R-3m
- D(E_F): 0.64 states/eV per atom
- Magnetization: 0.77 μB/f.u.

Structure (Quantum ESPRESSO input):
```
&SYSTEM
  ibrav = 0, nat = 3, ntyp = 1
/
ATOMIC_SPECIES
Ni 58.69 Ni.upf
CELL_PARAMETERS angstrom
2.446 0.000 0.000
1.223 2.119 0.000
1.223 0.706 6.008
ATOMIC_POSITIONS angstrom
Ni 0.000 0.000 0.000
Ni 1.223 0.706 1.998
Ni 3.670 2.119 4.010
```


C) VASP calculation (meta-GGA SCAN) on a crystal of Ni relaxed with PBEsol. Values from VASP.

Values from the calculation:
- Symmetry: I4/mmm
- D(E_F): 0.97 states/eV per atom
- Magnetization: 0.71 μB/f.u.

Structure (Quantum ESPRESSO input):
```
&SYSTEM
  ibrav = 0, nat = 1, ntyp = 1
/
ATOMIC_SPECIES
Ni 58.69 Ni.upf
CELL_PARAMETERS angstrom
2.397 -0.001 0.000
-1.097 2.131 0.000
-0.650 -1.065 2.047
ATOMIC_POSITIONS angstrom
Ni 0.000 0.000 0.000
```


Stability check: which of them is most stable? B).


A) VASP calculation (meta-GGA SCAN) on a crystal of Ni4P2O9 relaxed with PBEsol. Values from VASP.

Values from the calculation:
- Symmetry: P2_1/c
- D(E_F): 0.00 states/eV per atom
- Magnetization: 7.96 μB/f.u.

Structure (Quantum ESPRESSO input):
```
&SYSTEM
  ibrav = 0, nat = 60, ntyp = 3
/
ATOMIC_SPECIES
Ni 58.69 Ni.upf
P 30.97 P.upf
O 16.00 O.upf
CELL_PARAMETERS angstrom
6.386 -0.020 0.000
-2.514 8.734 0.000
0.000 0.000 10.900
ATOMIC_POSITIONS angstrom
Ni -1.669 7.779 6.473
Ni -0.412 3.412 9.877
Ni -0.477 6.537 4.140
Ni -0.170 4.719 6.533
Ni 0.780 2.170 1.309
Ni 1.087 0.352 9.817
Ni 1.166 5.901 1.432
Ni 1.450 7.180 6.882
Ni 2.422 1.534 4.018
Ni 2.707 2.813 9.468
Ni 2.785 8.362 1.083
Ni 3.093 6.544 9.590
Ni 4.042 3.995 4.367
Ni 4.349 2.177 6.759
Ni 4.284 5.302 1.023
Ni 5.541 0.935 4.427
P -0.503 8.007 1.844
P -0.098 6.018 9.446
P 0.754 3.640 3.606
P 1.158 1.651 6.904
P 2.714 7.063 3.996
P 3.119 5.074 7.294
P 3.971 2.696 1.454
P 4.375 0.707 9.055
O -1.278 6.987 9.690
O -0.948 6.511 2.027
O -0.474 4.850 8.479
O -0.225 6.683 6.079
O -0.298 4.451 4.442
O -0.386 8.451 3.326
O -0.022 2.620 6.660
O 0.179 5.197 10.747
O 0.309 2.144 3.423
O 0.782 0.483 7.871
O 1.032 2.316 10.270
O 0.959 0.084 1.008
O 0.871 4.084 2.124
O 0.828 7.916 1.086
O 1.435 0.830 5.603
O 1.141 6.772 8.938
O 1.475 6.309 3.488
O 1.787 5.165 6.536
O 2.085 3.550 4.364
O 2.397 2.405 7.412
O 2.732 1.942 1.962
O 2.437 7.884 5.297
O 3.044 0.798 9.813
O 3.001 4.630 8.776
O 2.913 8.630 9.892
O 2.840 6.398 0.630
O 3.090 8.231 3.029
O 3.563 6.570 7.477
O 3.694 3.517 0.153
O 3.894 6.094 4.240
O 4.258 0.263 7.574
O 4.170 4.263 6.458
O 4.097 2.031 4.820
O 4.347 3.864 2.421
O 4.820 2.203 8.873
O 5.151 1.727 1.210
```


B) VASP calculation (meta-GGA SCAN) on a crystal of Ni4P2O9 relaxed with PBEsol. Values from VASP.

Values from the calculation:
- Symmetry: P-1
- Magnetization: 4.05 μB/f.u.

Structure (Quantum ESPRESSO input):
```
&SYSTEM
  ibrav = 0, nat = 30, ntyp = 3
/
ATOMIC_SPECIES
Ni 58.69 Ni.upf
P 30.97 P.upf
O 16.00 O.upf
CELL_PARAMETERS angstrom
-3.683 -0.689 -4.808
6.076 -4.279 -1.900
-2.270 -4.310 6.283
ATOMIC_POSITIONS angstrom
Ni 3.537 -7.245 2.773
Ni 1.567 -7.410 0.130
Ni 0.829 -5.279 -1.531
Ni -1.456 -7.030 0.478
Ni 1.580 -2.247 -0.902
Ni -0.706 -3.998 1.107
Ni -1.444 -1.867 -0.555
Ni -3.413 -2.033 -3.197
P 2.833 -3.895 -3.298
P 3.284 -4.687 0.361
P -3.161 -4.590 -0.786
P -2.710 -5.382 2.873
O 4.431 -5.445 -0.380
O 3.084 -5.436 -3.475
O 1.863 -7.603 3.573
O 1.958 -5.409 -0.050
O -0.502 -3.887 -4.865
O 0.218 -7.609 1.617
O 1.670 -3.749 -2.274
O -0.319 -5.530 -2.934
O 0.032 -6.695 -0.747
O 0.092 -2.583 0.322
O 0.442 -3.747 2.510
O -1.547 -5.529 1.850
O -0.095 -1.668 -2.042
O 0.626 -5.391 4.440
O -1.835 -3.868 -0.375
O -1.739 -1.674 -3.998
O -2.961 -3.842 3.050
O -4.308 -3.833 -0.044
```


Stability check: which of them is most stable? A).


A) VASP calculation (meta-GGA SCAN) on a crystal of NiP3O9 relaxed with PBEsol. Values from VASP.

Values from the calculation:
- Symmetry: P-1
- D(E_F): 0.10 states/eV per atom
- Magnetization: 1.03 μB/f.u.

Structure (Quantum ESPRESSO input):
```
&SYSTEM
  ibrav = 0, nat = 52, ntyp = 3
/
ATOMIC_SPECIES
Ni 58.69 Ni.upf
P 30.97 P.upf
O 16.00 O.upf
CELL_PARAMETERS angstrom
0.035 9.499 0.115
-2.774 -3.301 -8.250
-6.228 -2.811 6.289
ATOMIC_POSITIONS angstrom
Ni -2.298 5.663 -0.040
Ni -6.954 4.041 -0.649
Ni -6.669 -2.276 -1.807
Ni -2.012 -0.654 -1.198
P -4.982 -0.220 -0.087
P -3.408 -2.595 -5.538
P -5.499 2.332 1.568
P -5.128 -2.994 0.803
P -6.091 1.682 4.501
P -2.901 4.609 -7.059
P -6.066 -1.223 5.212
P -3.839 6.381 -2.649
P -3.985 3.606 -1.760
P -2.875 1.705 -6.347
P -3.468 1.054 -3.415
P -5.558 5.982 3.692
O -8.175 -2.053 -0.775
O -4.223 5.434 3.903
O -2.370 0.156 -2.826
O -6.266 1.857 2.950
O -2.947 6.860 -3.843
O -3.701 5.962 1.100
O -6.019 -3.473 1.996
O -3.328 2.451 -2.597
O -5.875 -0.557 -1.239
O -7.990 2.509 -1.435
O -5.442 3.296 -1.519
O -5.638 0.935 0.750
O -4.743 -2.048 -5.749
O -5.265 -2.576 -2.947
O -3.091 3.943 -0.607
O -6.733 5.290 4.383
O -1.552 4.879 1.503
O -1.442 7.689 0.419
O -0.791 5.440 -1.071
O -3.110 6.796 -1.364
O -7.414 -1.492 -3.350
O -5.856 -3.409 -0.482
O -5.118 -1.425 0.989
O -0.976 0.878 -0.412
O -3.269 5.299 -5.681
O -6.596 3.230 0.979
O -4.823 0.578 -3.629
O -6.602 0.185 4.717
O -2.700 1.530 -4.797
O -3.848 4.812 -2.835
O -2.364 3.202 -6.563
O -3.524 0.090 -0.327
O -5.698 -1.913 3.835
O -7.525 -4.302 -2.265
O -4.143 2.808 1.783
O -2.233 -1.904 -6.229
```


B) VASP calculation (meta-GGA SCAN) on a crystal of NiP3O9 relaxed with PBEsol. Values from VASP.

Values from the calculation:
- Symmetry: Pbcm
- Magnetization: 1.00 μB/f.u.

Structure (Quantum ESPRESSO input):
```
&SYSTEM
  ibrav = 0, nat = 52, ntyp = 3
/
ATOMIC_SPECIES
Ni 58.69 Ni.upf
P 30.97 P.upf
O 16.00 O.upf
CELL_PARAMETERS angstrom
-1.516 -4.682 -0.160
10.247 -3.465 4.293
-4.623 1.090 11.916
ATOMIC_POSITIONS angstrom
Ni 0.000 0.000 0.000
Ni -2.312 0.545 5.958
Ni 5.123 -1.732 2.146
Ni 2.812 -1.188 8.104
P 7.345 -3.648 3.184
P 5.034 -3.103 9.141
P 2.289 -3.629 9.960
P 1.206 -3.374 12.750
P 8.050 -5.340 5.447
P 6.967 -5.085 8.237
P -2.860 -1.973 7.811
P -3.942 -1.717 10.601
P 2.902 -3.684 3.298
P 1.819 -3.429 6.088
P 1.385 -4.499 0.949
P -0.926 -3.954 6.907
O 6.371 -2.507 3.301
O 4.461 -2.057 8.223
O 6.092 -2.650 10.111
O 4.182 -2.200 15.033
O -2.620 -0.504 7.718
O -3.737 -0.241 10.598
O 3.600 -2.371 3.397
O 2.483 -2.107 6.277
O -0.773 -1.397 0.951
O -2.333 -1.030 4.970
O 1.887 -2.533 8.992
O 0.328 -2.166 13.011
O 2.065 -3.095 11.441
O 7.491 -4.693 6.788
O 3.886 -3.800 9.994
O 2.401 -3.450 13.822
O 7.059 -4.636 4.396
O 5.573 -4.286 8.225
O -1.466 -2.772 7.823
O -2.951 -2.422 11.652
O 1.707 -3.608 2.226
O 0.222 -3.258 6.055
O -3.383 -2.365 9.261
O 2.043 -3.963 4.607
O 3.780 -4.892 3.037
O 2.220 -4.524 7.056
O 6.440 -6.028 11.078
O 4.881 -5.660 15.097
O 1.625 -4.950 9.771
O 0.508 -4.687 12.651
O 7.845 -6.817 5.450
O 6.727 -6.553 8.330
O -0.075 -4.858 1.016
O -1.985 -4.408 5.937
O -0.354 -5.000 7.825
O -2.263 -4.550 12.747
```


Stability check: which of them is most stable? B).